A relaxed HfMgIrPt crystal. Source: the Alexandria database, functional PBE.

Output
* energy relative to the elements: -20.912 kcal/mol of atoms
* E_tot: -60.2 eV/cell
* SG: I-4m2

Structure (POSCAR):
```
HfMgIrPt
1.0
4.314 0.000 0.000
0.000 4.314 0.000
0.000 0.000 7.164
Hf Mg Ir Pt
2 2 2 2
Direct
0.000 0.000 0.000 Hf
0.500 0.500 0.500 Hf
0.000 0.000 0.500 Mg
0.500 0.500 0.000 Mg
0.000 0.500 0.750 Ir
0.500 0.000 0.250 Ir
0.000 0.500 0.250 Pt
0.500 0.000 0.750 Pt
```

***

A relaxed VAs2SeI crystal. Source: the Alexandria database, functional PBE.

Output
* E_tot: -22.7 eV/cell
* energy relative to the lowest polymorph listed for this composition: 0 kJ/mol of formula units
* ΔE_f (raw): 0.15 eV/atom
* SG: P4/mmm

Structure (POSCAR):
```
VAs2SeI
1.0
4.945 0.000 0.000
0.000 4.945 0.000
0.000 0.000 4.687
V As Se I
1 2 1 1
Direct
0.000 0.000 0.000 V
0.000 0.500 0.000 As
0.500 0.000 0.000 As
0.000 0.000 0.500 Se
0.500 0.500 0.500 I
```

***

Q: What is the formula in the second record?
A: VAs2SeI